LiRhN2O: optimized geometry, PBE.

Unit cell a=3.541 b=3.541 c=3.569 alpha=90.00 beta=90.00 gamma=90.00
Space group P4/mmm (No. 123)
One atom of each set of equivalent atoms:
Li: 0.000 0.000 0.000
Rh: 0.500 0.500 0.500
N: 0.000 0.500 0.000
O: 0.000 0.000 0.500

Properties
For the total magnetization, the calculation gives 0.00 μB/f.u. The calculation puts the density of states at the Fermi level at 0.7632 states/eV per atom. Its formation energy from raw total energies is 1.52 eV/atom.